An optimized crystal structure of AcUSe3, computed with PBE.

Calculated values
- Formation energy without anion corrections: -1566 meV per atom
- Calculated volume: 564.5 Å³ per cell
- Distance to the lowest polymorph of the same formula: 0 meV per atom

Lattice parameters (Å, degrees): 4.319 7.919 16.508 90.00 90.00 90.00
Fractional coordinates of all 20 atoms:
U1 0.250 0.771 0.540
Ac1 0.250 0.127 0.199
Se1 0.750 0.990 0.601
Se2 0.750 0.126 0.058
Ac2 0.250 0.627 0.301
Se3 0.750 0.490 0.899
Ac3 0.750 0.373 0.699
U2 0.750 0.229 0.460
U3 0.250 0.271 0.960
Se4 0.750 0.626 0.442
Se5 0.250 0.010 0.399
U4 0.750 0.729 0.040
Se6 0.250 0.662 0.714
Ac4 0.750 0.873 0.801
Se7 0.750 0.838 0.214
Se8 0.250 0.374 0.558
Se9 0.250 0.162 0.786
Se10 0.250 0.874 0.942
Se11 0.750 0.338 0.286
Se12 0.250 0.510 0.101

***

An optimized crystal structure of YPbS, computed with PBE.

Calculated values
- Formation energy without anion corrections: -1103 meV per atom
- Calculated volume: 169.5 Å³ per cell

Lattice parameters (Å, degrees): 4.570 4.570 9.734 76.42 76.42 60.00
Fractional coordinates of all 6 atoms:
S1 0.705 0.705 0.885
Pb1 0.861 0.861 0.417
Y1 0.607 0.607 0.179
Pb2 0.139 0.139 0.583
S2 0.295 0.295 0.115
Y2 0.393 0.393 0.821

***

An optimized crystal structure of LaZrTl2, computed with PBE.

Calculated values
- Calculated volume: 108.5 Å³ per cell
- ΔE_f: -105 meV per atom

Lattice parameters (Å, degrees): 4.517 4.900 4.900 90.00 90.00 90.00
Fractional coordinates of all 4 atoms:
La1 0.500 0.000 0.500
Tl1 0.000 0.500 0.500
Tl2 0.000 0.000 0.000
Zr1 0.500 0.500 0.000

***

An optimized crystal structure of Si2Ag, computed with PBE.

Calculated values
- Formation energy without anion corrections: 362 meV per atom
- Calculated volume: 100.4 Å³ per cell
- Distance to the lowest polymorph of the same formula: 47 meV per atom

Lattice parameters (Å, degrees): 6.291 6.291 4.880 90.00 90.00 148.69
Fractional coordinates of all 6 atoms:
Si1 0.117 0.883 0.750
Si2 0.883 0.117 0.250
Ag1 0.793 0.207 0.750
Si3 0.528 0.472 0.250
Si4 0.472 0.528 0.750
Ag2 0.207 0.793 0.250

***

An optimized crystal structure of Pm6Sm3Tm2, computed with PBE.

Calculated values
- Calculated volume: 386.7 Å³ per cell
- Distance to the lowest polymorph of the same formula: 266 meV per atom
- ΔE_f: 282 meV per atom

Lattice parameters (Å, degrees): 4.799 4.799 17.129 98.05 98.05 90.00
Fractional coordinates of all 11 atoms:
Sm1 0.801 0.801 0.603
Sm2 0.199 0.199 0.397
Tm1 0.455 0.455 0.909
Pm1 0.699 0.699 0.398
Sm3 0.000 0.000 0.000
Pm2 0.881 0.381 0.761
Pm3 0.301 0.301 0.602
Pm4 0.619 0.119 0.239
Tm2 0.545 0.545 0.091
Pm5 0.119 0.619 0.239
Pm6 0.381 0.881 0.761

***

An optimized crystal structure of Be2ZnPdPt, computed with PBE.

Calculated values
- Calculated volume: 84.8 Å³ per cell
- ΔE_f: 540 meV per atom

Lattice parameters (Å, degrees): 4.073 5.113 4.073 90.00 90.00 90.00
Fractional coordinates of all 5 atoms:
Zn1 0.500 0.500 0.500
Be1 0.500 0.000 0.000
Be2 0.000 0.000 0.500
Pt1 0.000 0.500 0.000
Pd1 0.000 0.000 0.000

***

An optimized crystal structure of Nd10DyY4, computed with PBE.

Calculated values
- Calculated volume: 605.6 Å³ per cell
- ΔE_f: 712 meV per atom

Lattice parameters (Å, degrees): 7.846 9.622 9.622 80.43 65.94 65.94
Fractional coordinates of all 15 atoms:
Nd1 0.551 0.100 0.299
Y1 0.400 0.801 0.400
Nd2 0.850 0.701 0.100
Nd3 0.050 0.100 0.299
Nd4 0.449 0.900 0.701
Nd5 0.950 0.900 0.701
Dy1 0.000 0.000 0.000
Y2 0.800 0.600 0.801
Y3 0.600 0.199 0.600
Nd6 0.250 0.500 0.500
Nd7 0.348 0.701 0.100
Nd8 0.652 0.299 0.900
Y4 0.200 0.400 0.199
Nd9 0.150 0.299 0.900
Nd10 0.750 0.500 0.500

***

An optimized crystal structure of Na2HCO4, computed with PBE.

Calculated values
- Calculated volume: 194.9 Å³ per cell
- E_tot: -86.05 eV/cell

Lattice parameters (Å, degrees): 6.345 6.345 7.609 126.86 126.86 64.48
Fractional coordinates of all 16 atoms:
Na1 0.500 0.000 0.500
C1 0.500 0.500 0.500
Na2 0.500 0.500 0.000
O1 0.831 0.669 0.061
O2 0.406 0.722 0.564
Na3 0.000 0.000 0.500
H1 0.000 0.500 0.500
O3 0.169 0.331 0.939
O4 0.831 0.669 0.439
O5 0.222 0.906 0.064
O6 0.778 0.094 0.936
Na4 0.500 0.000 0.000
O7 0.594 0.278 0.436
H2 0.000 0.500 0.000
C2 0.000 0.000 0.000
O8 0.169 0.331 0.561

***

An optimized crystal structure of YSiAs2, computed with PBE.

Calculated values
- Formation energy without anion corrections: -618 meV per atom
- Calculated volume: 85.5 Å³ per cell

Lattice parameters (Å, degrees): 5.843 5.843 4.083 92.41 92.41 37.89
Fractional coordinates of all 4 atoms:
As1 0.000 0.000 0.907
Y1 0.714 0.714 0.881
As2 0.287 0.287 0.390
Si1 0.498 0.498 0.323

***

An optimized crystal structure of ScU4P5, computed with PBE.

Calculated values
- Calculated volume: 210.3 Å³ per cell
- ΔE_f: -1061 meV per atom

Lattice parameters (Å, degrees): 3.882 5.517 10.381 105.41 100.78 90.00
Fractional coordinates of all 10 atoms:
P1 0.800 0.300 0.600
P2 0.596 0.096 0.192
U1 0.401 0.401 0.802
P3 0.000 0.500 0.000
U2 0.599 0.599 0.198
U3 0.801 0.801 0.603
P4 0.404 0.904 0.808
Sc1 0.000 0.000 0.000
U4 0.199 0.199 0.397
P5 0.200 0.700 0.400

***

An optimized crystal structure of P4Ir, computed with PBE.

Calculated values
- Calculated volume: 89.2 Å³ per cell
- Distance to the lowest polymorph of the same formula: 1080 meV per atom
- ΔE_f: 660 meV per atom

Lattice parameters (Å, degrees): 4.875 4.875 4.875 109.47 109.47 109.47
Fractional coordinates of all 5 atoms:
P1 0.000 0.000 0.500
P2 0.500 0.500 0.500
Ir1 0.000 0.000 0.000
P3 0.500 0.000 0.000
P4 0.000 0.500 0.000

***

An optimized crystal structure of BeRhW2, computed with PBE.

Calculated values
- Calculated volume: 57.2 Å³ per cell
- ΔE_f: 210 meV per atom

Lattice parameters (Å, degrees): 8.805 8.805 8.805 18.05 18.05 18.05
Fractional coordinates of all 4 atoms:
W1 0.997 0.997 0.997
W2 0.503 0.503 0.503
Be1 0.250 0.250 0.250
Rh1 0.750 0.750 0.750

***

An optimized crystal structure of Pr8Co2Rh, computed with PBE.

Calculated values
- Calculated volume: 331.0 Å³ per cell
- ΔE_f: -125 meV per atom

Lattice parameters (Å, degrees): 3.896 9.076 9.597 94.81 101.71 90.00
Fractional coordinates of all 11 atoms:
Pr1 0.222 0.328 0.445
Pr2 0.601 0.546 0.201
Rh1 0.500 0.000 0.000
Pr3 0.399 0.454 0.799
Pr4 0.655 0.961 0.310
Co1 0.830 0.269 0.661
Pr5 0.008 0.219 0.016
Pr6 0.345 0.039 0.690
Pr7 0.992 0.781 0.984
Pr8 0.778 0.672 0.555
Co2 0.170 0.731 0.339

***

An optimized crystal structure of TiSi3Br, computed with PBE.

Calculated values
- Formation energy without anion corrections: 1441 meV per atom
- Calculated volume: 111.3 Å³ per cell
- Distance to the lowest polymorph of the same formula: 771 meV per atom

Lattice parameters (Å, degrees): 4.810 4.810 4.810 90.00 90.00 90.00
Fractional coordinates of all 5 atoms:
Si1 0.000 0.000 0.500
Br1 0.000 0.000 0.000
Ti1 0.500 0.500 0.500
Si2 0.000 0.500 0.000
Si3 0.500 0.000 0.000

***

An optimized crystal structure of Ti4PbO, computed with PBE.

Calculated values
- Formation energy without anion corrections: -880 meV per atom
- Calculated volume: 192.0 Å³ per cell
- Distance to the lowest polymorph of the same formula: 0 meV per atom

Lattice parameters (Å, degrees): 4.534 5.880 7.553 90.00 107.49 90.00
Fractional coordinates of all 12 atoms:
Pb1 0.703 0.250 0.406
Ti1 0.900 0.484 0.800
Ti2 0.495 0.750 0.990
O1 0.992 0.750 0.984
Ti3 0.100 0.516 0.200
Pb2 0.297 0.750 0.594
Ti4 0.100 0.984 0.200
O2 0.008 0.250 0.016
Ti5 0.677 0.750 0.355
Ti6 0.323 0.250 0.645
Ti7 0.505 0.250 0.010
Ti8 0.900 0.016 0.800

***

An optimized crystal structure of La3GaW, computed with PBE.

Calculated values
- Calculated volume: 169.6 Å³ per cell
- Distance to the lowest polymorph of the same formula: 0 meV per atom
- ΔE_f: 370 meV per atom

Lattice parameters (Å, degrees): 5.535 5.535 5.535 90.00 90.00 90.00
Fractional coordinates of all 5 atoms:
La1 0.000 0.500 0.000
La2 0.500 0.000 0.000
W1 0.000 0.000 0.000
Ga1 0.500 0.500 0.500
La3 0.000 0.000 0.500

***

An optimized crystal structure of Tm4Ga3Cu, computed with PBE.

Calculated values
- Calculated volume: 179.2 Å³ per cell
- Distance to the lowest polymorph of the same formula: 0 meV per atom
- ΔE_f: -510 meV per atom

Lattice parameters (Å, degrees): 3.913 4.206 10.889 90.00 90.00 90.00
Fractional coordinates of all 8 atoms:
Tm1 0.500 0.500 0.349
Tm2 0.500 0.000 0.648
Ga1 0.000 0.500 0.576
Tm3 0.000 0.500 0.863
Cu1 0.500 0.500 0.074
Tm4 0.000 0.000 0.141
Ga2 0.500 0.000 0.925
Ga3 0.000 0.000 0.424

***

An optimized crystal structure of Li2CoCl, computed with PBE.

Calculated values
- Formation energy without anion corrections: -35 meV per atom
- Calculated volume: 82.9 Å³ per cell
- Distance to the lowest polymorph of the same formula: 320 meV per atom

Lattice parameters (Å, degrees): 5.468 5.468 5.468 147.65 103.19 85.81
Fractional coordinates of all 4 atoms:
Li1 0.534 0.534 0.000
Li2 0.966 0.966 0.000
Cl1 0.750 0.250 0.500
Co1 0.250 0.750 0.500

***

An optimized crystal structure of Pm8ZnRh5, computed with PBE.

Calculated values
- Calculated volume: 349.1 Å³ per cell
- ΔE_f: -571 meV per atom

Lattice parameters (Å, degrees): 7.683 7.683 7.683 109.09 110.24 109.09
Fractional coordinates of all 14 atoms:
Pm1 0.115 0.754 0.000
Pm2 0.639 0.885 0.885
Pm3 0.736 0.248 0.372
Pm4 0.000 0.115 0.754
Pm5 0.125 0.752 0.488
Pm6 0.512 0.636 0.264
Pm7 0.628 0.364 0.875
Rh1 0.371 0.114 0.992
Rh2 0.500 0.000 0.500
Rh3 0.008 0.379 0.122
Pm8 0.246 0.246 0.361
Rh4 0.743 0.621 0.629
Rh5 0.878 0.886 0.257
Zn1 0.250 0.500 0.750

***

An optimized crystal structure of Zr5Au3, computed with PBE.

Calculated values
- Calculated volume: 163.8 Å³ per cell
- Distance to the lowest polymorph of the same formula: 71 meV per atom
- ΔE_f: -354 meV per atom

Lattice parameters (Å, degrees): 6.162 6.162 4.315 90.00 90.00 91.41
Fractional coordinates of all 8 atoms:
Zr1 0.500 0.000 0.000
Zr2 0.000 0.000 0.000
Au1 0.758 0.758 0.500
Zr3 0.732 0.268 0.500
Zr4 0.000 0.500 0.000
Zr5 0.268 0.732 0.500
Au2 0.242 0.242 0.500
Au3 0.500 0.500 0.000